A geometry-optimized InBP2 structure. Source: Alexandria via LeMat-Bulk, functional PBE-GGA.

abc: 4.501 4.501 4.501
angles: 60.00 60.00 60.00
Element x y z (fractional)
1 P 0.250 0.250 0.250
2 P 0.750 0.750 0.750
3 B 0.000 0.000 0.000
4 In 0.500 0.500 0.500

Computed properties:
Formation enthalpy at 0 K: 481 kJ/mol of formula units
Calculated density: 4.832 g/cm3
Symmetry: Fm-3m, No. 225

=====

A geometry-optimized In2BPPd structure. Source: Alexandria via LeMat-Bulk, functional PBE-GGA.

abc: 5.227 4.534 5.227
angles: 90.00 90.00 90.00
Element x y z (fractional)
1 P 0.000 0.500 0.000
2 B 0.500 0.500 0.500
3 Pd 0.000 0.000 0.000
4 In 0.000 0.000 0.500
5 In 0.500 0.000 0.000

Computed properties:
Formation enthalpy at 0 K: 503 kJ/mol of formula units
Calculated density: 5.065 g/cm3
Symmetry: P4/mmm, No. 123

=====

A geometry-optimized In2BPRu structure. Source: Alexandria via LeMat-Bulk, functional PBE-GGA.

abc: 5.195 3.930 5.195
angles: 90.00 90.00 90.00
Element x y z (fractional)
1 Ru 0.000 0.000 0.000
2 B 0.000 0.500 0.000
3 P 0.500 0.500 0.500
4 In 0.000 0.000 0.500
5 In 0.500 0.000 0.000

Computed properties:
Formation enthalpy at 0 K: 340 kJ/mol of formula units
Calculated density: 5.832 g/cm3
Symmetry: P4/mmm, No. 123

=====

A geometry-optimized InBP2S structure. Source: Alexandria via LeMat-Bulk, functional PBE-GGA.

abc: 4.257 4.257 4.434
angles: 90.00 90.00 90.00
Element x y z (fractional)
1 P 0.000 0.500 0.000
2 P 0.500 0.000 0.000
3 S 0.000 0.000 0.500
4 B 0.000 0.000 0.000
5 In 0.500 0.500 0.500

Computed properties:
Calculated density: 4.539 g/cm3
Formation energy from raw total energies: 0.699 eV per atom
Symmetry: P4/mmm, No. 123